Computed, not measured: a crystal of BaBeAs relaxed with PBEsol at the SCAN level of DFT.

The structure in extended XYZ format:
```
3
Lattice="0.0000 3.5904 3.5904 3.5904 0.0000 3.5904 3.5904 3.5904 0.0000" Properties=species:S:1:pos:R:3 pbc="T T T"
Ba 0.0000 0.0000 0.0000
Be 1.7952 1.7952 1.7952
As 5.3856 5.3856 5.3856
```

Output
As for the energy above the lowest structure with this stoichiometry: 403 meV per atom. As for the total magnetic moment: 0.00 μB/cell.